<one>
VASP calculation (GGA-PBE) on crystalline CuPRu3 at its relaxed geometry.

a b c (Å): 4.325 4.325 4.325
angles (deg): 90.00 90.00 90.00
Space group Pm-3m (No. 221)
Inequivalent atoms, fractional coordinates:
Cu  0.000  0.000  0.000 (multiplicity 1)
P  0.500  0.500  0.500 (multiplicity 1)
Ru  0.000  0.500  0.500 (multiplicity 3)

<two>
VASP calculation (GGA-PBE) on crystalline CuPRu3 at its relaxed geometry.

a b c (Å): 4.424 4.424 4.424
angles (deg): 90.00 90.00 90.00
Space group Pm-3m (No. 221)
Inequivalent atoms, fractional coordinates:
Cu  0.000  0.000  0.000 (multiplicity 1)
P  0.500  0.500  0.500 (multiplicity 1)
Ru  0.000  0.000  0.500 (multiplicity 3)

<one> comes first in stability; the runner-up is 1232 meV per atom higher.

<one>
VASP calculation (GGA-PBE) on crystalline SrCuPS2 at its relaxed geometry.

a b c (Å): 5.573 5.573 5.752
angles (deg): 90.00 90.00 90.00
Space group P4/mmm (No. 123)
Inequivalent atoms, fractional coordinates:
Sr  0.000  0.000  0.000 (multiplicity 1)
Cu  0.500  0.500  0.500 (multiplicity 1)
P  0.000  0.000  0.500 (multiplicity 1)
S  0.000  0.500  0.000 (multiplicity 2)

<two>
VASP calculation (GGA-PBE) on crystalline SrCuPS2 at its relaxed geometry.

a b c (Å): 4.903 4.903 4.329
angles (deg): 90.00 90.00 90.00
Space group P4/mmm (No. 123)
Inequivalent atoms, fractional coordinates:
Sr  0.000  0.000  0.000 (multiplicity 1)
Cu  0.500  0.500  0.500 (multiplicity 1)
P  0.500  0.500  0.000 (multiplicity 1)
S  0.000  0.500  0.500 (multiplicity 2)

<two> comes first in stability; the runner-up is 1364 meV per atom higher.